Here is ThMg2GaPd4 after structural relaxation from Alexandria via LeMat-Bulk. Energies are from PBE.

Unit cell a=4.4373 b=4.4373 c=8.9919 alpha=75.72 beta=75.72 gamma=60.00
Closest atoms and distances in Å follow each position.
Fractional coordinates of all 8 atoms:
Ga (0.5000, 0.5000, 0.5000)  8 Pd 2.61-2.72
Mg (0.7624, 0.7624, 0.7127)  7 Pd 2.68-2.74
Mg (0.2376, 0.2376, 0.2873)  7 Pd 2.68-2.74
Pd (0.6011, 0.6011, 0.1968)  1 Ga 2.61, 3 Mg 2.68
Pd (0.1316, 0.1316, 0.6051)  3 Ga 2.72, 4 Mg 2.72-2.74
Pd (0.3989, 0.3989, 0.8032)  1 Ga 2.61, 3 Mg 2.68
Pd (0.8684, 0.8684, 0.3949)  3 Ga 2.72, 4 Mg 2.72-2.74
Th (0.0000, 0.0000, 0.0000)  8 Pd 3.07-3.40

- Size of the total moment: 0.00 μB/cell
- ΔE_f: -16.00 kcal/mol of atoms
- Space group: R-3m (166)
- DOS at the Fermi energy: 3.6 states/eV per cell
- Energy: -4.995 eV/atom

Here is In2Co2Pb after structural relaxation from Alexandria via LeMat-Bulk. Energies are from PBE.

Unit cell a=4.1950 b=4.1950 c=6.3214 alpha=70.62 beta=70.62 gamma=90.00
Closest atoms and distances in Å follow each position.
Fractional coordinates of all 5 atoms:
Pb (0.0000, 0.0000, 0.0000)  8 Co 3.17, 8 In 3.49
Co (0.6012, 0.6012, 0.7976)  1 Co 2.26
Co (0.3988, 0.3988, 0.2024)  1 Co 2.26
In (0.7500, 0.2500, 0.5000)  4 Co 2.68, 4 In 2.97
In (0.2500, 0.7500, 0.5000)  4 Co 2.68, 4 In 2.97

- Size of the total moment: 0.00 μB/cell
- ΔE_f: 8.98 kcal/mol of atoms
- Space group: I4/mmm (139)
- DOS at the Fermi energy: 3.9 states/eV per cell
- Energy: -4.290 eV/atom

Here is La4HPtBr2 after structural relaxation from Alexandria via LeMat-Bulk. Energies are from PBE.

Unit cell a=4.0940 b=7.0369 c=8.0323 alpha=106.64 beta=90.00 gamma=90.00
Closest atoms and distances in Å follow each position.
Fractional coordinates of all 8 atoms:
H (0.5000, 0.5000, 0.0000)  6 La 2.72-2.83
Br (0.5000, 0.0000, 0.5000)  6 La 3.28-3.34
Br (0.0000, 0.5000, 0.5000)  6 La 3.18-3.22
La (0.0000, 0.7268, 0.2091)  2 H 2.83, 1 Pt 2.89
La (0.0000, 0.2732, 0.7909)  2 H 2.83, 1 Pt 2.89
La (0.5000, 0.7446, 0.7928)  1 H 2.72, 2 Pt 2.91
La (0.5000, 0.2554, 0.2072)  1 H 2.72, 2 Pt 2.91
Pt (0.0000, 0.0000, 0.0000)  6 La 2.89-2.91

- Size of the total moment: 0.00 μB/cell
- Space group: P2/m (10)
- DOS at the Fermi energy: 7.5 states/eV per cell
- Energy: -5.082 eV/atom